# RuPt2Rh

Crystalline RuPt2Rh at its relaxed geometry (PBE, Alexandria via LeMat-Bulk).

Results
offset from the most stable computed form: 322 meV per atom
ΔE_f: 1.14 eV/f.u.
calculated volume: 15.25 A^3/atom
space group: Fm-3m
size of the total moment: 1.38 μB per formula unit

abc: 4.4183 4.4183 4.4183
angles: 60.00 60.00 60.00
Last column: nearest neighbours and their distance in Å.
Fractional coordinates of all 4 atoms:
Rh: 0.5000 0.5000 0.5000  8 Pt 2.71
Ru: 0.0000 0.0000 0.0000  8 Pt 2.71
Pt: 0.7500 0.7500 0.7500  4 Rh 2.71, 4 Ru 2.71
Pt: 0.2500 0.2500 0.2500  4 Rh 2.71, 4 Ru 2.71

***

# Sr2ThTa3N8

Crystalline Sr2ThTa3N8 at its relaxed geometry (PBE, Alexandria via LeMat-Bulk).

Results
calculated volume: 15.96 A^3/atom
space group: P1
uncorrected formation energy: -0.9984 eV per atom
size of the total moment: 0.00 μB per formula unit

abc: 6.7054 6.6731 6.8660
angles: 62.30 62.39 59.33
Last column: nearest neighbours and their distance in Å.
Fractional coordinates of all 14 atoms:
Th: 0.8802 0.9035 0.3207  4 N 2.26-2.49
N: 0.7660 0.7887 0.7474  1 Ta 1.96
N: 0.2320 0.6681 0.8549  2 Ta 2.03-2.04
N: 0.7656 0.3151 0.1724  2 Ta 2.13-2.14, 1 Th 2.27
N: 0.7652 0.7341 0.1919  1 Ta 2.03, 1 Th 2.26
N: 0.2407 0.2523 0.8275  2 Ta 1.98-2.12
N: 0.3441 0.1935 0.2418  2 Ta 1.93-2.10
N: 0.2993 0.7643 0.1831  2 Ta 2.14-2.26, 1 Th 2.31
N: 0.6726 0.2504 0.8272  2 Ta 1.97-2.11
Ta: 0.4722 0.4468 0.0423  4 N 1.93-2.14
Ta: 0.4822 0.0143 0.9972  4 N 1.98-2.14
Ta: 0.9640 0.5492 0.9556  5 N 1.96-2.13
Sr: 0.1106 0.1056 0.6565  4 N 2.43-2.48
Sr: 0.4980 0.5068 0.5036  6 N 2.46-2.59

***

# K2GeSb2

Crystalline K2GeSb2 at its relaxed geometry (PBE, Alexandria via LeMat-Bulk).

Results
calculated volume: 34.03 A^3/atom
space group: C2/m
uncorrected formation energy: -0.2739 eV per atom
size of the total moment: 0.00 μB per formula unit

abc: 5.6743 6.7105 10.2897
angles: 87.04 73.99 64.99
Last column: nearest neighbours and their distance in Å.
Fractional coordinates of all 10 atoms:
Sb: 0.0877 0.2720 0.5527  1 Ge 2.78, 1 Sb 3.04
Sb: 0.6396 0.8390 0.8818  1 Ge 2.80, 1 Sb 2.94
Sb: 0.3604 0.1610 0.1182  1 Ge 2.80, 1 Sb 2.94
Sb: 0.9123 0.7280 0.4473  1 Ge 2.78, 1 Sb 3.04
Ge: 0.3603 0.9277 0.3516  2 Sb 2.78-2.80
Ge: 0.6397 0.0723 0.6484  2 Sb 2.78-2.80
K: 0.3342 0.6554 0.6762  4 Ge 3.54-3.83, 6 Sb 3.62-3.82, 1 K 3.84
K: 0.6658 0.3446 0.3238  4 Ge 3.54-3.83, 6 Sb 3.62-3.82, 1 K 3.84
K: 0.0744 0.7508 0.1003  6 Sb 3.44-3.77, 1 K 3.74
K: 0.9256 0.2492 0.8997  6 Sb 3.44-3.77, 1 K 3.74

***

# Sm6Dy3Tm2In

Crystalline Sm6Dy3Tm2In at its relaxed geometry (PBE, Alexandria via LeMat-Bulk).

Results
ΔE_f: -0.39 eV/f.u.
calculated volume: 31.47 A^3/atom
space group: C2/m
size of the total moment: 0.00 μB per formula unit

abc: 6.1609 6.1609 11.6850
angles: 95.09 95.09 120.09
Last column: nearest neighbours and their distance in Å.
Fractional coordinates of all 12 atoms:
Sm: 0.7536 0.7536 0.2476  1 In 3.50, 6 Sm 3.50-3.59, 2 Tm 3.51, 3 Dy 3.55-3.57
Sm: 0.5902 0.9186 0.7540  1 In 3.48, 6 Sm 3.50-3.59, 2 Tm 3.50-3.51, 3 Dy 3.56-3.58
Sm: 0.0814 0.4098 0.2460  1 In 3.48, 6 Sm 3.50-3.59, 2 Tm 3.50-3.51, 3 Dy 3.56-3.58
Sm: 0.9186 0.5902 0.7540  1 In 3.48, 6 Sm 3.50-3.59, 2 Tm 3.50-3.51, 3 Dy 3.56-3.58
Sm: 0.2464 0.2464 0.7524  1 In 3.50, 6 Sm 3.50-3.59, 2 Tm 3.51, 3 Dy 3.55-3.57
Sm: 0.4098 0.0814 0.2460  1 In 3.48, 6 Sm 3.50-3.59, 2 Tm 3.50-3.51, 3 Dy 3.56-3.58
Tm: 0.6662 0.3338 0.0000  6 Sm 3.50-3.51, 3 Tm 3.55-3.56, 3 In 3.55-3.56
Tm: 0.3338 0.6662 0.0000  6 Sm 3.50-3.51, 3 Tm 3.55-3.56, 3 In 3.55-3.56
Dy: 0.1676 0.8324 0.5000  6 Dy 3.54-3.58, 6 Sm 3.55-3.58
Dy: 0.5000 0.5000 0.5000  6 Dy 3.55-3.56, 6 Sm 3.56-3.57
Dy: 0.8324 0.1676 0.5000  6 Dy 3.54-3.58, 6 Sm 3.55-3.58
In: 0.0000 0.0000 0.0000  6 Sm 3.48-3.50, 6 Tm 3.55-3.56

***

# Rb2AuSeF6

Crystalline Rb2AuSeF6 at its relaxed geometry (PBE, Alexandria via LeMat-Bulk).

Results
calculated volume: 21.36 A^3/atom
space group: I4/mmm
uncorrected formation energy: -1.7991 eV per atom
size of the total moment: 1.00 μB per formula unit

abc: 6.7505 6.7505 6.6901
angles: 59.70 59.70 90.00
Last column: nearest neighbours and their distance in Å.
Fractional coordinates of all 10 atoms:
F: 0.7043 0.2957 0.0000  1 Se 1.95
F: 0.7823 0.7823 0.4353  1 Au 2.04
F: 0.2957 0.7043 0.0000  1 Se 1.95
F: 0.2957 0.2957 0.0000  1 Se 1.95
F: 0.2177 0.2177 0.5647  1 Au 2.04
F: 0.7043 0.7043 0.0000  1 Se 1.95
Rb: 0.2500 0.7500 0.5000  12 F 3.37-3.39
Rb: 0.7500 0.2500 0.5000  12 F 3.37-3.39
Au: 0.0000 0.0000 0.0000  2 F 2.04
Se: 0.5000 0.5000 0.0000  4 F 1.95

***

# NaPrPd10

Crystalline NaPrPd10 at its relaxed geometry (PBE, Alexandria via LeMat-Bulk).

Results
ΔE_f: -3.09 eV/f.u.
calculated volume: 18.49 A^3/atom
space group: Pmmm
size of the total moment: 0.00 μB per formula unit

abc: 4.4784 5.3664 9.2317
angles: 90.00 90.00 90.00
Last column: nearest neighbours and their distance in Å.
Fractional coordinates of all 12 atoms:
Pr: 0.0000 0.0000 0.0000  6 Pd 3.08-3.10
Pd: 0.0000 0.5000 0.8321  6 Pd 2.72
Pd: 0.5000 0.7514 0.2484  8 Pd 2.66-2.72
Pd: 0.0000 0.5000 0.1679  6 Pd 2.72
Pd: 0.5000 0.5000 0.0000  8 Pd 2.66-2.72
Pd: 0.5000 0.2486 0.2484  8 Pd 2.66-2.72
Pd: 0.5000 0.2486 0.7516  8 Pd 2.66-2.72
Pd: 0.0000 0.0000 0.6660  6 Pd 2.71-2.72
Pd: 0.5000 0.0000 0.5000  8 Pd 2.68-2.71
Pd: 0.0000 0.0000 0.3340  6 Pd 2.71-2.72
Pd: 0.5000 0.7514 0.7516  8 Pd 2.66-2.72
Na: 0.0000 0.5000 0.5000  6 Pd 3.07-3.09

***

# RbSmCuSe2

Crystalline RbSmCuSe2 at its relaxed geometry (PBE, Alexandria via LeMat-Bulk).

Results
calculated volume: 31.49 A^3/atom
space group: P2/c
uncorrected formation energy: -1.0157 eV per atom
size of the total moment: 0.00 μB per formula unit

abc: 4.6888 8.1416 8.3514
angles: 98.93 90.00 90.00
Last column: nearest neighbours and their distance in Å.
Fractional coordinates of all 10 atoms:
Cu: 0.0000 0.0000 0.5000  2 Se 2.36
Cu: 0.0000 0.0000 0.0000  2 Se 2.36
Se: 0.3173 0.7720 0.4678  1 Cu 2.36
Se: 0.3173 0.2280 0.0322  1 Cu 2.36
Se: 0.6827 0.2280 0.5322  1 Cu 2.36
Se: 0.6827 0.7720 0.9678  1 Cu 2.36
Sm: 0.4926 0.0000 0.2500  4 Se 2.90-2.91, 4 Cu 3.11-3.17
Sm: 0.5074 0.0000 0.7500  4 Se 2.90-2.91, 4 Cu 3.11-3.17
Rb: 0.1688 0.5000 0.7500  6 Se 3.49-3.57
Rb: 0.8312 0.5000 0.2500  6 Se 3.49-3.57

***

# K4ZrTe4

Crystalline K4ZrTe4 at its relaxed geometry (PBE, Alexandria via LeMat-Bulk).

Results
calculated volume: 43.49 A^3/atom
space group: P4_2/nmc
uncorrected formation energy: -1.0441 eV per atom
size of the total moment: 0.00 μB per formula unit

abc: 7.7816 10.0299 10.0299
angles: 90.00 90.00 90.00
Last column: nearest neighbours and their distance in Å.
Fractional coordinates of all 18 atoms:
K: 0.6587 0.9998 0.7268  5 Te 3.59-3.71, 1 Zr 3.82
K: 0.3413 0.7268 0.0002  5 Te 3.59-3.71, 1 Zr 3.82
K: 0.8413 0.4998 0.2268  5 Te 3.59-3.71, 1 Zr 3.82
K: 0.6587 0.0002 0.2732  5 Te 3.59-3.71, 1 Zr 3.82
K: 0.1587 0.2268 0.5002  5 Te 3.59-3.71, 1 Zr 3.82
K: 0.1587 0.7732 0.4998  5 Te 3.59-3.71, 1 Zr 3.82
K: 0.3413 0.2732 0.9998  5 Te 3.59-3.71, 1 Zr 3.82
K: 0.8413 0.5002 0.7732  5 Te 3.59-3.71, 1 Zr 3.82
Te: 0.2979 0.4998 0.2749  1 Zr 2.75
Te: 0.7021 0.7251 0.4998  1 Zr 2.75
Te: 0.2021 0.0002 0.2251  1 Zr 2.75
Te: 0.2979 0.5002 0.7251  1 Zr 2.75
Te: 0.7979 0.7749 0.0002  1 Zr 2.75
Te: 0.2021 0.9998 0.7749  1 Zr 2.75
Te: 0.7979 0.2251 0.9998  1 Zr 2.75
Te: 0.7021 0.2749 0.5002  1 Zr 2.75
Zr: 0.0000 0.0000 0.0000  4 Te 2.75
Zr: 0.5000 0.5000 0.5000  4 Te 2.75